First-principles (PBE) data for an optimized crystal structure of DyTm3Ru, as listed in the Alexandria database.

Properties
N(E_F), states/eV/f.u.: 6.168
Energy relative to the lowest polymorph listed for this composition, meV per atom: 139.6
Space-group type: No. 12
V, Å³ per atom: 27.27
Energy relative to the elements, eV/atom: -0.083
Crystal system: monoclinic
Magnetic moment, Bohr magnetons per cell: 0.54
Electronic total energy, eV/atom: -5.542

Cell: 3.523 9.428 8.715 Å, 105.58 101.66 90.00°
Each line ends with the local moment (μB).
Sites, in units of the cell vectors:
Dy 0.693 0.310 0.387  0.03
Dy 0.307 0.690 0.613  0.03
Tm 0.002 0.177 0.003  0.02
Tm 0.998 0.823 0.997  0.02
Tm 0.316 0.131 0.631  0.02
Tm 0.684 0.869 0.369  0.02
Tm 0.099 0.542 0.198  0.15
Tm 0.901 0.458 0.802  0.15
Ru 0.864 0.936 0.728  0.01
Ru 0.136 0.064 0.272  0.01